(1)
An optimized crystal structure of NdNpPt2, computed with PBE.

For the density of states at the Fermi level, the calculation gives 10.78 states/eV per cell. The formation energy is -695 meV per atom. For the size of the total moment, the calculation gives 1.049 μB per atom. As for the crystal system: tetragonal.

Geometry as POSCAR:
```
NdNpPt2
1.0
3.537 0.000 0.000
0.000 3.537 0.000
0.000 0.000 7.188
Nd Np Pt
1 1 2
Cartesian
0.000 0.000 0.000
0.000 0.000 3.594
1.768 1.768 1.935
1.768 1.768 5.253
```

(2)
An optimized crystal structure of Nd2NpPt9, computed with PBE.

For the density of states at the Fermi level, the calculation gives 17.30 states/eV per cell. The formation energy is -772 meV per atom. For the size of the total moment, the calculation gives 0.320 μB per atom. As for the crystal system: trigonal.

Geometry as POSCAR:
```
Nd2NpPt9
1.0
2.722 1.572 8.943
-2.722 1.572 8.943
0.000 -3.144 8.943
Nd Np Pt
2 1 9
Cartesian
0.000 0.000 3.727
0.000 0.000 23.102
0.000 0.000 0.000
-1.374 -0.793 11.199
0.000 0.000 8.930
0.000 -1.586 15.631
-1.374 0.793 15.631
0.000 0.000 13.415
1.374 -0.793 11.199
0.000 1.586 11.199
0.000 0.000 17.899
1.374 0.793 15.631
```